No. 1
Compound: Na3CrSe3
Source: Alexandria
Functional: PBE-GGA
Structure: optimized geometry

Cell: 6.5182 9.7881 11.9156 Å, 90.00 90.00 109.45°
Closest atoms and distances in Å follow each position.
Fractional positions:
Se1 0.9551 0.3151 0.8799  1 Cr 2.38
Na1 0.0169 0.3642 0.6281  4 Se 2.97-3.11, 1 Cr 3.22
Na2 0.1528 0.6358 0.8719  4 Se 2.97-3.11, 1 Cr 3.22
Se2 0.8600 0.3151 0.3799  1 Cr 2.38
Na3 0.8429 0.0000 0.3445  5 Se 2.92-3.16
Na4 0.1571 0.0000 0.6555  5 Se 2.92-3.16
Na5 0.4831 0.6358 0.1281  4 Se 2.97-3.11, 1 Cr 3.22
Se3 0.7197 0.0000 0.6013  2 Cr 2.43
Se4 0.6400 0.6849 0.8799  1 Cr 2.38
Na6 0.8472 0.3642 0.1281  4 Se 2.97-3.11, 1 Cr 3.22
Na7 0.3429 0.0000 0.1555  5 Se 2.92-3.16
Na8 0.5169 0.3642 0.8719  4 Se 2.97-3.11, 1 Cr 3.22
Se5 0.2197 0.0000 0.8987  2 Cr 2.43
Cr1 0.0837 0.1674 0.0000  4 Se 2.38-2.43
Na9 0.3472 0.3642 0.3719  4 Se 2.97-3.11, 1 Cr 3.22
Se6 0.5449 0.6849 0.3799  1 Cr 2.38
Se7 0.4551 0.3151 0.6201  1 Cr 2.38
Na10 0.6571 0.0000 0.8445  5 Se 2.92-3.16
Se8 0.1400 0.6849 0.6201  1 Cr 2.38
Cr2 0.5837 0.1674 0.5000  4 Se 2.38-2.43
Se9 0.2803 0.0000 0.3987  2 Cr 2.43
Se10 0.3600 0.3151 0.1201  1 Cr 2.38
Se11 0.0449 0.6849 0.1201  1 Cr 2.38
Se12 0.7803 0.0000 0.1013  2 Cr 2.43
Cr3 0.4163 0.8326 0.5000  4 Se 2.38-2.43
Na11 0.6528 0.6358 0.6281  4 Se 2.97-3.11, 1 Cr 3.22
Na12 0.9831 0.6358 0.3719  4 Se 2.97-3.11, 1 Cr 3.22
Cr4 0.9163 0.8326 0.0000  4 Se 2.38-2.43

The calculation puts the formation energy from raw total energies at -79 kJ per mole of atoms. The value obtained for the total energy is -0.15637 Ha/atom. The value obtained for the volume is 25.6 Å³/atom. As for the crystal system: orthorhombic.

No. 2
Compound: Na2CrSe
Source: Alexandria
Functional: PBE-GGA
Structure: optimized geometry

Cell: 10.4590 10.4590 7.7844 Å, 47.79 47.79 90.00°
Closest atoms and distances in Å follow each position.
Fractional positions:
Na1 0.8750 0.0175 0.7500  2 Se 2.91
Na2 0.9825 0.6250 0.2500  2 Se 2.91
Cr1 0.5000 0.5000 0.0000  2 Se 2.43
Se1 0.0000 0.0000 0.0000  2 Cr 2.43
Cr2 0.2500 0.7500 0.5000  2 Se 2.43
Se2 0.7500 0.2500 0.5000  2 Cr 2.43
Na3 0.3750 0.2325 0.7500  2 Se 2.91
Na4 0.7675 0.1250 0.2500  2 Se 2.91

The calculation puts the formation energy from raw total energies at -5 kJ per mole of atoms. The value obtained for the total energy is -0.14662 Ha/atom. The value obtained for the volume is 33.2 Å³/atom. For the excess energy over the best structure of this formula in the dataset, the calculation gives 0.0 meV per atom. As for the crystal system: tetragonal.

No. 3
Compound: NaCrSe
Source: Alexandria
Functional: PBE-GGA
Structure: optimized geometry

Cell: 3.6858 3.6858 9.5968 Å, 90.00 90.00 90.00°
Closest atoms and distances in Å follow each position.
Fractional positions:
Se1 0.5000 0.0000 0.6675  4 Cr 2.45
Na1 0.0000 0.5000 0.8400  4 Se 3.09
Se2 0.0000 0.5000 0.3325  4 Cr 2.45
Cr1 0.0000 0.0000 0.5000  4 Se 2.45, 4 Cr 2.61
Na2 0.5000 0.0000 0.1600  4 Se 3.09
Cr2 0.5000 0.5000 0.5000  4 Se 2.45, 4 Cr 2.61

The calculation puts the formation energy from raw total energies at -30 kJ per mole of atoms. The value obtained for the total energy is -0.18797 Ha/atom. The value obtained for the volume is 21.7 Å³/atom. As for the crystal system: tetragonal.

No. 4
Compound: NaCr2Se
Source: Alexandria
Functional: PBE-GGA
Structure: optimized geometry

Cell: 4.3436 4.3436 9.4033 Å, 76.65 76.65 90.00°
Closest atoms and distances in Å follow each position.
Fractional positions:
Cr1 0.8747 0.6250 0.2500  2 Cr 2.17
Na1 0.2500 0.7500 0.5000  4 Se 3.07, 8 Cr 3.29
Se1 0.7500 0.2500 0.5000  4 Cr 2.47
Cr2 0.8753 0.1250 0.2500  2 Cr 2.17
Cr3 0.3750 0.1247 0.7500  2 Cr 2.17
Na2 0.5000 0.5000 0.0000  4 Se 3.07, 8 Cr 3.29
Se2 0.0000 0.0000 0.0000  4 Cr 2.47
Cr4 0.8750 0.1253 0.7500  2 Cr 2.17

The calculation puts the formation energy from raw total energies at 57 kJ per mole of atoms. The value obtained for the total energy is -0.19925 Ha/atom. The value obtained for the volume is 21.0 Å³/atom. For the excess energy over the best structure of this formula in the dataset, the calculation gives 0.0 meV per atom. As for the crystal system: tetragonal.

No. 5
Compound: Na2CrSe
Source: Alexandria
Functional: PBE-GGA
Structure: optimized geometry

Cell: 5.1234 5.1234 5.1234 Å, 60.00 60.00 60.00°
Closest atoms and distances in Å follow each position.
Fractional positions:
Se1 0.5000 0.5000 0.5000  8 Na 3.14
Na1 0.2500 0.2500 0.2500  4 Cr 3.14, 4 Se 3.14
Na2 0.7500 0.7500 0.7500  4 Se 3.14, 4 Cr 3.14
Cr1 0.0000 0.0000 0.0000  8 Na 3.14

The calculation puts the formation energy from raw total energies at 9 kJ per mole of atoms. The value obtained for the total energy is -0.14108 Ha/atom. The value obtained for the volume is 23.8 Å³/atom. For the excess energy over the best structure of this formula in the dataset, the calculation gives 150.9 meV per atom. As for the crystal system: cubic.

No. 6
Compound: NaCr2Se4
Source: Alexandria
Functional: PBE-GGA
Structure: optimized geometry

Cell: 3.6553 6.4146 12.8841 Å, 90.00 90.00 106.55°
Closest atoms and distances in Å follow each position.
Fractional positions:
Se1 0.5000 0.0000 0.0000  4 Cr 2.63
Se2 0.0678 0.1357 0.2500  2 Cr 2.47
Se3 0.5000 0.0000 0.5000  4 Cr 2.63
Cr1 0.8641 0.7282 0.9306  6 Se 2.47-2.63
Se4 0.9322 0.8643 0.7500  2 Cr 2.47
Na1 0.3871 0.7742 0.2500  6 Se 2.88-2.99
Cr2 0.1359 0.2718 0.0694  6 Se 2.47-2.63
Cr3 0.1359 0.2718 0.4306  6 Se 2.47-2.63
Se5 0.2320 0.4639 0.6057  3 Cr 2.49-2.55
Se6 0.2320 0.4639 0.8943  3 Cr 2.49-2.55
Na2 0.6129 0.2258 0.7500  6 Se 2.88-2.99
Cr4 0.8641 0.7282 0.5694  6 Se 2.47-2.63
Se7 0.7680 0.5361 0.3943  3 Cr 2.49-2.55
Se8 0.7680 0.5361 0.1057  3 Cr 2.49-2.55

The calculation puts the formation energy from raw total energies at -54 kJ per mole of atoms. The value obtained for the total energy is -0.20169 Ha/atom. The value obtained for the volume is 20.7 Å³/atom. For the excess energy over the best structure of this formula in the dataset, the calculation gives 112.2 meV per atom. As for the crystal system: orthorhombic.

No. 7
Compound: Na3CrSe
Source: Alexandria
Functional: PBE-GGA
Structure: optimized geometry

Cell: 5.5251 5.5251 5.5251 Å, 90.00 90.00 90.00°
Closest atoms and distances in Å follow each position.
Fractional positions:
Na1 0.0000 0.0000 0.5000  2 Cr 2.76
Na2 0.5000 0.0000 0.0000  2 Cr 2.76
Na3 0.0000 0.5000 0.0000  2 Cr 2.76
Cr1 0.0000 0.0000 0.0000  6 Na 2.76
Se1 0.5000 0.5000 0.5000  12 Na 3.91

The calculation puts the formation energy from raw total energies at 51 kJ per mole of atoms. The value obtained for the total energy is -0.10609 Ha/atom. The value obtained for the volume is 33.7 Å³/atom. For the excess energy over the best structure of this formula in the dataset, the calculation gives 489.4 meV per atom. As for the crystal system: cubic.

No. 8
Compound: Na3CrSe
Source: Alexandria
Functional: PBE-GGA
Structure: optimized geometry

Cell: 5.5407 5.5407 5.5407 Å, 90.00 90.00 90.00°
Closest atoms and distances in Å follow each position.
Fractional positions:
Cr1 0.5000 0.5000 0.5000  12 Na 3.92
Se1 0.0000 0.0000 0.0000  6 Na 2.77
Na1 0.0000 0.0000 0.5000  2 Se 2.77
Na2 0.5000 0.0000 0.0000  2 Se 2.77
Na3 0.0000 0.5000 0.0000  2 Se 2.77

The calculation puts the formation energy from raw total energies at 4 kJ per mole of atoms. The value obtained for the total energy is -0.12408 Ha/atom. The value obtained for the volume is 34.0 Å³/atom. For the excess energy over the best structure of this formula in the dataset, the calculation gives 0.0 meV per atom. As for the crystal system: cubic.

No. 9
Compound: Na2Cr2SiSe6
Source: Alexandria
Functional: PBE-GGA
Structure: optimized geometry

Cell: 6.3829 6.3829 7.3771 Å, 98.33 98.33 120.15°
Closest atoms and distances in Å follow each position.
Fractional positions:
Na1 0.8320 0.1680 0.0000  6 Se 3.02-3.04
Se1 0.2577 0.2577 0.3068  1 Si 2.47, 2 Cr 2.57
Se2 0.9338 0.6075 0.3048  1 Si 2.50, 2 Cr 2.54-2.55
Se3 0.3925 0.0662 0.6952  1 Si 2.50, 2 Cr 2.54-2.55
Se4 0.7423 0.7423 0.6932  1 Si 2.47, 2 Cr 2.57
Cr1 0.3319 0.6681 0.5000  6 Se 2.54-2.57
Se5 0.0662 0.3925 0.6952  1 Si 2.50, 2 Cr 2.54-2.55
Se6 0.6075 0.9338 0.3048  1 Si 2.50, 2 Cr 2.54-2.55
Cr2 0.6681 0.3319 0.5000  6 Se 2.54-2.57
Si1 0.0000 0.0000 0.5000  6 Se 2.47-2.50
Na2 0.1680 0.8320 0.0000  6 Se 3.02-3.04

The calculation puts the formation energy from raw total energies at -68 kJ per mole of atoms. The value obtained for the total energy is -0.18681 Ha/atom. The value obtained for the volume is 22.6 Å³/atom. As for the crystal system: monoclinic.

No. 10
Compound: Na3Cr3SiSe8
Source: Alexandria
Functional: PBE-GGA
Structure: optimized geometry

Cell: 7.4020 7.4035 8.2214 Å, 116.77 90.00 119.99°
Closest atoms and distances in Å follow each position.
Fractional positions:
Se1 0.7331 0.4662 0.6983  3 Cr 2.55
Na1 0.5000 0.5000 0.0000  6 Se 3.01
Si1 0.0000 0.0000 0.5000  6 Se 2.50-2.51
Se2 0.7716 0.0333 0.3047  1 Si 2.50, 2 Cr 2.56
Na2 0.0000 0.0000 0.0000  6 Se 3.01
Cr1 0.5000 0.0000 0.5000  6 Se 2.55-2.56
Na3 0.0000 0.5000 0.0000  6 Se 3.01
Se3 0.2286 0.4572 0.6949  1 Si 2.51, 2 Cr 2.55
Cr2 0.5000 0.5000 0.5000  6 Se 2.55-2.56
Se4 0.2284 0.9667 0.6953  1 Si 2.50, 2 Cr 2.56
Cr3 0.0000 0.5000 0.5000  6 Se 2.55-2.56
Se5 0.2617 0.0333 0.3047  1 Si 2.50, 2 Cr 2.56
Se6 0.7714 0.5428 0.3051  1 Si 2.51, 2 Cr 2.55
Se7 0.7383 0.9667 0.6953  1 Si 2.50, 2 Cr 2.56
Se8 0.2669 0.5338 0.3017  3 Cr 2.55

The calculation puts the formation energy from raw total energies at -71 kJ per mole of atoms. The value obtained for the total energy is -0.18887 Ha/atom. The value obtained for the volume is 22.2 Å³/atom. As for the crystal system: trigonal.